Record 1
InAg2As2 (PBE, relaxed); symmetry = P4/mbm (127); distance to the lowest polymorph of the same formula = 72.2 meV/atom; formation enthalpy at 0 K = 0.17 eV per atom; crystal system = tetragonal
1.0
8.416 0.000 0.000
0.000 8.416 0.000
0.000 0.000 2.952
As In Ag
4 2 4
direct
0.851 0.351 0.500
0.149 0.649 0.500
0.649 0.851 0.500
0.351 0.149 0.500
0.500 0.500 0.000
0.000 0.000 0.000
0.147 0.353 0.000
0.353 0.853 0.000
0.853 0.647 0.000
0.647 0.147 0.000

=====

Record 2
InAg2As (PBE, relaxed); symmetry = C2/m (12); formation enthalpy at 0 K = 0.09 eV per atom; crystal system = monoclinic
1.0
-1.590 4.596 0.805
-3.801 2.583 1.784
1.634 0.774 5.283
Ag In As
2 1 1
direct
0.497 0.497 0.502
0.003 0.003 0.998
0.250 0.250 0.250
0.750 0.750 0.750

=====

Record 3
InAg2As (PBE, relaxed); symmetry = Cm (8); formation enthalpy at 0 K = 0.11 eV per atom; crystal system = monoclinic
1.0
-1.474 -5.223 -0.304
1.282 -5.177 1.053
-2.215 -0.107 4.503
In Ag As
1 2 1
direct
0.253 0.253 0.246
0.006 0.006 0.993
0.745 0.745 0.751
0.496 0.496 0.509

=====

Record 4
InAg2As2 (PBE, relaxed); symmetry = I4/mmm (139); distance to the lowest polymorph of the same formula = 0.0 meV/atom; formation enthalpy at 0 K = 0.09 eV per atom; crystal system = tetragonal
1.0
4.633 0.000 0.000
0.000 4.633 0.000
2.317 2.317 5.310
In As Ag
1 2 2
direct
0.000 0.000 0.000
0.386 0.386 0.229
0.614 0.614 0.771
0.250 0.750 0.500
0.750 0.250 0.500

=====

Record 5
InAgAs (PBE, relaxed); symmetry = P3m1 (156); formation enthalpy at 0 K = 0.19 eV per atom; crystal system = trigonal
1.0
-0.898 2.662 1.403
-1.187 -0.776 -2.802
-5.542 -3.640 3.358
Ag In As
1 1 1
direct
0.000 0.000 0.012
0.667 0.333 0.675
0.333 0.667 0.313

=====

Record 6
In2AgAs (PBE, relaxed); symmetry = Immm (71); distance to the lowest polymorph of the same formula = 111.8 meV/atom; formation enthalpy at 0 K = 0.13 eV per atom; crystal system = orthorhombic
1.0
-2.749 0.626 4.399
3.602 -1.827 3.314
0.385 3.923 -3.429
In As Ag
2 1 1
direct
0.506 0.506 0.000
0.994 0.994 0.000
0.250 0.750 0.500
0.750 0.250 0.500

=====

Record 7
In2AgAs (PBE, relaxed); symmetry = Pm (6); distance to the lowest polymorph of the same formula = 0.0 meV/atom; formation enthalpy at 0 K = 0.02 eV per atom; crystal system = monoclinic
1.0
3.903 0.000 0.000
0.000 4.052 0.189
0.000 1.825 5.979
Ag In As
1 2 1
direct
0.000 0.709 0.449
0.500 0.283 0.308
0.000 0.971 0.937
0.500 0.537 0.806

=====

Record 8
InAg2As (PBE, relaxed); symmetry = Immm (71); formation enthalpy at 0 K = 0.08 eV per atom; crystal system = orthorhombic
1.0
5.297 -0.027 -0.039
1.848 4.964 0.039
-3.558 -2.490 3.034
Ag In As
2 1 1
direct
0.500 0.500 0.000
0.000 0.000 0.000
0.750 0.250 0.500
0.250 0.750 0.500

=====

Record 9
In2AgAs (PBE, relaxed); symmetry = I-4m2 (119); distance to the lowest polymorph of the same formula = 119.5 meV/atom; formation enthalpy at 0 K = 0.13 eV per atom; crystal system = tetragonal
1.0
-3.118 1.086 4.322
-4.285 -3.347 -0.128
5.329 -1.018 -0.383
Ag In As
1 2 1
direct
0.500 0.500 0.000
0.000 0.000 0.000
0.250 0.750 0.500
0.750 0.250 0.500

=====

Record 10
InAg2As (PBE, relaxed); symmetry = Cmmm (65); formation enthalpy at 0 K = 0.11 eV per atom; crystal system = orthorhombic
1.0
5.246 0.026 0.000
-1.744 4.947 0.000
0.000 0.000 3.068
Ag As In
2 1 1
direct
0.000 0.000 0.000
0.500 0.500 0.000
0.500 0.000 0.500
0.000 0.500 0.500

=====

Record 11
In2AgAs (PBE, relaxed); symmetry = I4/mmm (139); distance to the lowest polymorph of the same formula = 125.0 meV/atom; formation enthalpy at 0 K = 0.14 eV per atom; crystal system = tetragonal
1.0
5.434 -0.030 0.000
1.656 5.176 0.000
-3.545 -2.573 3.216
In As Ag
2 1 1
direct
0.000 0.000 0.000
0.500 0.500 0.000
0.750 0.250 0.500
0.250 0.750 0.500

=====

Record 12
InAg2As (PBE, relaxed); symmetry = P2/m (10); formation enthalpy at 0 K = 0.14 eV per atom; crystal system = monoclinic
1.0
-2.154 -2.663 -2.920
2.687 -1.223 -0.867
-0.238 -4.352 4.145
Ag As In
2 1 1
direct
0.000 0.256 0.991
0.000 0.244 0.509
0.500 0.250 0.250
0.500 0.750 0.750

=====

Record 13
InAgAs (PBE, relaxed); symmetry = Imm2 (44); formation enthalpy at 0 K = 0.15 eV per atom; crystal system = orthorhombic
1.0
-4.405 1.906 1.867
-0.606 -0.240 5.109
3.621 1.636 -3.276
In As Ag
1 1 1
direct
0.670 0.670 0.000
0.332 0.332 0.000
0.998 0.998 0.000

=====

Record 14
In2AgAs (PBE, relaxed); symmetry = C2/m (12); distance to the lowest polymorph of the same formula = 97.7 meV/atom; formation enthalpy at 0 K = 0.11 eV per atom; crystal system = monoclinic
1.0
7.475 -0.138 -0.389
-3.074 4.411 0.167
1.326 0.949 2.682
As In Ag
1 2 1
direct
0.500 0.500 0.000
0.500 0.000 0.500
0.000 0.000 0.000
0.000 0.500 0.500

=====

Record 15
In2AgAs (PBE, relaxed); symmetry = F-43m (216); distance to the lowest polymorph of the same formula = 127.8 meV/atom; formation enthalpy at 0 K = 0.14 eV per atom; crystal system = cubic
1.0
-2.676 -4.310 0.154
-0.571 -2.785 -4.205
2.364 -4.471 -0.423
In Ag As
2 1 1
direct
0.000 0.000 0.000
0.250 0.250 0.250
0.500 0.500 0.500
0.750 0.750 0.750

=====

Record 16
InAg2As (PBE, relaxed); symmetry = I-4m2 (119); formation enthalpy at 0 K = 0.10 eV per atom; crystal system = tetragonal
1.0
5.287 0.012 0.000
1.768 4.982 0.000
-3.528 -2.497 3.045
Ag As In
2 1 1
direct
0.000 0.000 0.000
0.250 0.750 0.500
0.500 0.500 0.000
0.750 0.250 0.500

=====

Record 17
In2AgAs (PBE, relaxed); symmetry = Imm2 (44); distance to the lowest polymorph of the same formula = 84.2 meV/atom; formation enthalpy at 0 K = 0.10 eV per atom; crystal system = orthorhombic
1.0
6.468 0.078 -0.027
3.592 5.380 0.027
-4.346 -3.989 2.654
In Ag As
2 1 1
direct
0.719 0.219 0.500
0.024 0.024 0.000
0.481 0.481 0.000
0.276 0.776 0.500

=====

Record 18
In2AgAs (PBE, relaxed); symmetry = Pmmm (47); distance to the lowest polymorph of the same formula = 101.3 meV/atom; formation enthalpy at 0 K = 0.12 eV per atom; crystal system = orthorhombic
1.0
-4.304 0.644 -0.421
0.111 -2.316 -4.671
-0.698 -3.534 1.736
As Ag In
1 1 2
direct
0.000 0.500 0.500
0.500 0.000 0.500
0.500 0.500 0.000
0.000 0.000 0.000

=====

Record 19
InAg2As (PBE, relaxed); symmetry = Cmm2 (35); formation enthalpy at 0 K = 0.14 eV per atom; crystal system = orthorhombic
1.0
3.005 0.048 0.000
-0.043 3.005 0.000
0.000 0.000 8.983
As Ag In
1 2 1
direct
0.000 0.000 0.470
0.500 0.500 0.248
0.000 0.000 0.020
0.500 0.500 0.762

=====

Record 20
InAg2As (PBE, relaxed); symmetry = F-43m (216); formation enthalpy at 0 K = 0.16 eV per atom; crystal system = cubic
1.0
4.863 0.000 0.000
2.432 4.212 0.000
2.432 1.404 3.971
Ag In As
2 1 1
direct
0.250 0.250 0.250
0.000 0.000 0.000
0.750 0.750 0.750
0.500 0.500 0.500